Material: LiCr2O3
Method: DFT, PBE with a Hubbard U
State: optimized geometry

Cell lengths 5.348, 2.975, 15.277 Å; angles 90.00, 90.00, 90.00 degrees
Fractional coordinates of all 24 atoms:
Li: 0.023 0.250 0.149
Li: 0.477 0.750 0.649
Li: 0.523 0.250 0.351
Li: 0.977 0.750 0.851
Cr: 0.015 0.750 0.297
Cr: 0.247 0.250 0.499
Cr: 0.253 0.750 0.999
Cr: 0.485 0.250 0.797
Cr: 0.515 0.750 0.203
Cr: 0.747 0.250 0.001
Cr: 0.753 0.750 0.501
Cr: 0.985 0.250 0.703
O: 0.075 0.250 0.930
O: 0.084 0.750 0.570
O: 0.244 0.750 0.754
O: 0.256 0.250 0.254
O: 0.416 0.250 0.070
O: 0.425 0.750 0.430
O: 0.575 0.250 0.570
O: 0.584 0.750 0.930
O: 0.744 0.750 0.746
O: 0.756 0.250 0.246
O: 0.916 0.250 0.430
O: 0.925 0.750 0.070

- energy (eV/atom) = -7.08
- space group = Pnma